DFT (meta-GGA SCAN) results for a crystal of SrCdSe2N relaxed with PBEsol.

Polymorph energy (0 for the lowest one) (kcal/mol of atoms): 0.000
ρ (Mg/m³): 5.179
Space group: No. 123
Formation energy from raw total energies (meV per atom): -193.3

Cell lengths 5.308, 5.308, 4.233 Å; angles 90.00, 90.00, 90.00 degrees
Positions (direct):
Sr1 0.000 0.000 0.000
Cd1 0.500 0.500 0.500
Se1 0.000 0.500 0.500
Se2 0.500 0.000 0.500
N1 0.500 0.500 0.000